PmThBiSb after structural relaxation. Source: the Alexandria database, functional PBE.

## Properties
DOS(E_F) (states/eV per atom): 1.0802
Formation energy without anion corrections (meV/atom): -708

Structure (POSCAR):
```
PmThBiSb
1.0
5.5249 0.0000 0.0000
2.7625 4.7847 0.0000
2.7625 1.5949 4.5111
Sb Bi Th Pm
1 1 1 1
Cartesian
0.0000 0.0000 0.0000 Sb
5.5249 3.1898 2.2555 Bi
8.2874 4.7847 3.3833 Th
2.7625 1.5949 1.1278 Pm
```